[1]
Here is a geometry-optimized NaCdBr structure from the Alexandria database. Energies are from PBE.

Unit cell a=13.425 b=4.792 c=4.792 alpha=60.33 beta=90.00 gamma=90.00
Atoms (fractional coordinates):
1 Na 0.235 0.000 0.000
2 Na 0.765 0.000 0.000
3 Cd 0.000 0.657 0.657
4 Cd 0.500 0.134 0.134
5 Br 0.239 0.335 0.335
6 Br 0.761 0.335 0.335

## Properties
energy relative to the elements, uncorrected	-0.712	eV/atom
space group	Amm2
calculated total energy	-2.014	eV per atom



[2]
Here is a geometry-optimized KY2Tc structure from the Alexandria database. Energies are from PBE.

Unit cell a=4.080 b=9.126 c=9.126 alpha=24.28 beta=90.00 gamma=90.00
Atoms (fractional coordinates):
1 K 0.000 0.000 0.000
2 Y 0.000 0.694 0.694
3 Y 0.500 0.313 0.313
4 Tc 0.500 0.167 0.167

## Properties
space group	Amm2
calculated total energy	-5.630	eV per atom
E_form	10.79	kcal/mol of atoms



[3]
Here is a geometry-optimized LiOsSCl2 structure from the Alexandria database. Energies are from PBE.

Unit cell a=5.107 b=5.107 c=4.364 alpha=90.00 beta=90.00 gamma=90.00
Atoms (fractional coordinates):
1 Li 0.000 0.000 0.000
2 Os 0.500 0.500 0.500
3 S 0.500 0.500 0.000
4 Cl 0.000 0.500 0.500
5 Cl 0.500 0.000 0.500

## Properties
energy relative to the elements, uncorrected	-0.231	eV/atom
space group	P4/mmm
calculated total energy	-4.424	eV per atom



[4]
Here is a geometry-optimized Li2TaNbBr structure from the Alexandria database. Energies are from PBE.

Unit cell a=5.386 b=5.386 c=4.775 alpha=90.00 beta=90.00 gamma=90.00
Atoms (fractional coordinates):
1 Li 0.000 0.500 0.000
2 Li 0.500 0.000 0.000
3 Ta 0.000 0.000 0.500
4 Nb 0.000 0.000 0.000
5 Br 0.500 0.500 0.500

## Properties
energy relative to the elements, uncorrected	1.239	eV/atom
space group	P4/mmm
calculated total energy	-4.246	eV per atom



[5]
Here is a geometry-optimized TaTi2InB structure from the Alexandria database. Energies are from PBE.

Unit cell a=4.335 b=4.335 c=4.396 alpha=90.00 beta=90.00 gamma=90.00
Atoms (fractional coordinates):
1 Ta 0.000 0.000 0.000
2 Ti 0.000 0.500 0.500
3 Ti 0.500 0.000 0.500
4 In 0.500 0.500 0.000
5 B 0.000 0.000 0.500

## Properties
space group	P4/mmm
calculated total energy	-7.684	eV per atom
E_form	-6.28	kcal/mol of atoms



[6]
Here is a geometry-optimized NaTiHgBr6 structure from the Alexandria database. Energies are from PBE.

Unit cell a=7.118 b=7.275 c=7.316 alpha=80.35 beta=60.90 gamma=69.68
Atoms (fractional coordinates):
1 Na 0.000 0.000 0.000
2 Ti 0.334 0.999 0.332
3 Hg 0.830 0.500 0.342
4 Br 0.126 0.786 0.322
5 Br 0.248 0.224 0.053
6 Br 0.411 0.781 0.615
7 Br 0.551 0.212 0.324
8 Br 0.701 0.774 0.053
9 Br 0.974 0.217 0.615

## Properties
energy relative to the elements, uncorrected	-1.006	eV/atom
space group	P1
calculated total energy	-3.179	eV per atom